CoHgN2F: optimized geometry, PBE with a Hubbard U.

Its polymorph energy (0 for the lowest one) is 4.670 eV/f.u. The total energy comes out at -15.88 eV per cell. For the density of states at the Fermi level, the calculation gives 0.34 states/eV per atom.

It has space group P4/mmm (No. 123), with a = 4.173 Å, b = 4.173 Å, c = 4.676 Å, α = 90.00°, β = 90.00° and γ = 90.00°. The distinct sites, in fractional coordinates, are Co at (0.000, 0.000, 0.000), Hg at (0.500, 0.500, 0.500), N at (0.000, 0.500, 0.500) and F at (0.500, 0.500, 0.000).